(1)
TiMo3W: relaxed, GGA-PBE.

The structure in CIF format:
```
data_TiMo3W
_cell_length_a 4.730
_cell_length_b 4.730
_cell_length_c 4.730
_cell_angle_alpha 90.00
_cell_angle_beta 90.00
_cell_angle_gamma 90.00
_space_group_name_H-M_alt 'P m -3 m'
_space_group_IT_number 221
_space_group_name_Hall '-P 4 2 3'
loop_
_atom_site_label
_atom_site_fract_x
_atom_site_fract_y
_atom_site_fract_z
_atom_site_occupancy
Ti1 0.000 0.000 0.000 1
Mo1 0.000 0.500 0.500 1
W1 0.500 0.500 0.500 1
```

Summary:
Fermi-level density of states = 7.16 states/eV/cell
formation energy = 8.2 eV per formula unit
energy above the most stable polymorph in this dataset = 1.769 eV/atom
calculated volume = 21.2 Å³/atom

(2)
TiMo6W8: relaxed, GGA-PBE.

The structure in CIF format:
```
data_TiMo6W8
_cell_length_a 7.0848
_cell_length_b 7.0848
_cell_length_c 17.4111
_cell_angle_alpha 90.00
_cell_angle_beta 90.00
_cell_angle_gamma 120.00
_space_group_name_H-M_alt 'R -3'
_space_group_IT_number 148
_space_group_name_Hall '-R 3'
loop_
_atom_site_label
_atom_site_fract_x
_atom_site_fract_y
_atom_site_fract_z
_atom_site_occupancy
Ti1 0.0000 0.0000 0.0000 1
Mo1 0.0039 0.2488 0.3767 1
W1 0.0000 0.0000 0.2504 1
W2 0.0066 0.7482 0.1266 1
```

Summary:
Fermi-level density of states = 35.88 states/eV/cell
formation energy = 3.9 eV per formula unit
calculated volume = 16.8 Å³/atom